VFeAu2: relaxed, PBE.

POSCAR file:
```
VFeAu2
1.0
-1.3095 -4.8429 5.2027
0.5817 -5.3455 -4.8294
2.2618 -5.2633 0.6901
Fe Au V
2 4 2
direct
0.7500 0.2500 0.5000 Fe
0.0000 0.0000 0.0000 Fe
0.3750 0.3637 0.7500 Au
0.1137 0.6250 0.2500 Au
0.6363 0.1250 0.2500 Au
0.8750 0.8863 0.7500 Au
0.5000 0.5000 0.0000 V
0.2500 0.7500 0.5000 V
```

VASP energy = -5.567 eV/atom
Space-group type = No. 122